Below is a relaxed structure of Rb3Pm2YSe6, with properties calculated at the GGA-PBE level.

For the volume, the calculation gives 775.1 Å³ per cell. The calculation puts the uncorrected formation energy at -20.893 eV per formula unit. The uncorrected energy is -0.1858 hartree per atom.

The space group is C2/m (No. 12) and the conventional cell measures 7.473, 12.944 and 8.392 Å, with angles of 90.00, 107.28 and 90.00 degrees. The distinct sites, in fractional coordinates, are Rb at (0.000, 0.000, 0.000), Rb at (0.000, 0.332, 0.000), Pm at (0.000, 0.167, 0.500), Y at (0.000, 0.500, 0.500), Se at (0.230, 0.336, 0.698) and Se at (0.239, 0.000, 0.699).